Record 1
Compound: LiSmPaSe4
Source: Alexandria
Functional: GGA-PBE
Structure: relaxed

Structure (POSCAR):
```
LiSmPaSe4
1.0
-4.188 4.193 5.940
4.188 -4.193 5.940
4.188 4.193 -5.940
Li Sm Pa Se
2 2 2 8
direct
0.370 0.120 0.250 Li
0.630 0.880 0.750 Li
0.000 0.500 0.500 Sm
0.500 0.500 0.000 Sm
0.000 0.000 0.500 Pa
0.000 0.500 0.000 Pa
0.234 0.748 0.486 Se
0.238 0.252 0.986 Se
0.239 0.245 0.506 Se
0.239 0.733 0.994 Se
0.761 0.267 0.006 Se
0.761 0.755 0.494 Se
0.762 0.748 0.014 Se
0.766 0.252 0.514 Se
```

Summary:
For the density of states at the Fermi level, the calculation gives 11.93 states/eV per cell. Its space group is Imma, No. 74. The value obtained for the volume is 29.80 Å³/atom. For the size of the total moment, the calculation gives 1.020 μB per formula unit.


Record 2
Compound: Nd4SiN
Source: Alexandria
Functional: GGA-PBE
Structure: relaxed

Structure (POSCAR):
```
Nd4SiN
1.0
5.986 0.000 0.000
0.000 9.812 0.000
-1.027 0.000 5.913
Nd Si N
8 2 2
direct
0.144 0.250 0.240 Nd
0.260 0.750 0.357 Nd
0.279 0.045 0.778 Nd
0.279 0.455 0.778 Nd
0.721 0.545 0.222 Nd
0.721 0.955 0.222 Nd
0.740 0.250 0.643 Nd
0.856 0.750 0.760 Nd
0.394 0.750 0.895 Si
0.606 0.250 0.105 Si
0.123 0.250 0.621 N
0.877 0.750 0.379 N
```

Summary:
For the density of states at the Fermi level, the calculation gives 8.83 states/eV per cell. Its space group is P2_1/m, No. 11. The value obtained for the volume is 28.94 Å³/atom. For the size of the total moment, the calculation gives 0.000 μB per formula unit.


Looking at ΔE_f (raw) for the records above, in order, we have -1.518, -0.539 eV per atom.